[1]
A plane-wave DFT calculation with GGA-PBE was carried out for a geometry-optimized PRuPt2 structure.

abc: 3.763 3.380 5.062
angles: 72.33 90.00 90.00
Last column: magnetic moment on the atom in μB.
Element x y z (fractional)
P (0.500, 0.500, 0.500)  -0.01
Ru (0.500, 0.500, 0.000)  0.81
Pt (0.000, 0.130, 0.728)  0.07
Pt (0.000, 0.870, 0.272)  0.07

Space group: P2/m (10)

***

[2]
A plane-wave DFT calculation with GGA-PBE was carried out for a geometry-optimized PRu2Pt structure.

abc: 2.828 2.828 7.005
angles: 90.00 90.00 90.00
Element x y z (fractional)
P (0.000, 0.000, 0.481)
Ru (0.000, 0.000, 0.012)
Ru (0.500, 0.500, 0.276)
Pt (0.500, 0.500, 0.732)

Space group: P4mm (99)

***

[3]
A plane-wave DFT calculation with GGA-PBE was carried out for a geometry-optimized P2RuPt structure.

abc: 2.941 5.074 3.940
angles: 90.00 90.00 90.00
Element x y z (fractional)
P (0.000, 0.000, 0.000)
P (0.500, 0.500, 0.000)
Pt (0.500, 0.000, 0.500)
Ru (0.000, 0.500, 0.500)

E above lowest polymorph: 2.570 eV/f.u.
Space group: Pmmm (47)

***

[4]
A plane-wave DFT calculation with GGA-PBE was carried out for a geometry-optimized PRuPt2 structure.

abc: 5.261 5.261 5.261
angles: 147.50 130.79 60.22
Element x y z (fractional)
P (0.745, 0.245, 0.500)
Ru (0.551, 0.551, 0.000)
Pt (0.951, 0.951, 0.000)
Pt (0.252, 0.752, 0.500)

Space group: Imm2 (44)

***

[5]
A plane-wave DFT calculation with GGA-PBE was carried out for a geometry-optimized P2RuPt structure.

abc: 2.985 2.987 6.247
angles: 90.00 90.00 90.00
Element x y z (fractional)
P (0.000, 0.000, 0.986)
P (0.000, 0.000, 0.514)
Pt (0.500, 0.500, 0.250)
Ru (0.500, 0.500, 0.750)

E above lowest polymorph: 1.637 eV/f.u.
Space group: P4/mmm (123)

***

[6]
A plane-wave DFT calculation with GGA-PBE was carried out for a geometry-optimized PRuPt2 structure.

abc: 2.848 4.485 4.646
angles: 90.00 90.00 90.00
Element x y z (fractional)
P (0.000, 0.500, 0.500)
Ru (0.500, 0.000, 0.500)
Pt (0.000, 0.000, 0.000)
Pt (0.500, 0.500, 0.000)

Space group: Pmmm (47)

***

Number 1: E_tot -6.654 eV/atom, ΔH_f (0 K) 0.15 eV per formula unit. Number 2: E_tot -7.463 eV/atom, ΔH_f (0 K) 0.15 eV per formula unit. Number 3: E_tot -6.289 eV/atom, ΔH_f (0 K) 0.98 eV per formula unit. Number 4: E_tot -6.771 eV/atom, ΔH_f (0 K) -0.32 eV per formula unit. Number 5: E_tot -6.523 eV/atom, ΔH_f (0 K) 0.05 eV per formula unit. Number 6: E_tot -6.544 eV/atom, ΔH_f (0 K) 0.59 eV per formula unit.